[1]
## ScGaRu3 (SCAN)

Data for a PBEsol-optimized structure of ScGaRu3.

Lattice parameters (Å, degrees): 4.4538 4.4538 4.4538 90.00 90.00 90.00
Atoms (fractional coordinates):
Ru: 0.5000 0.0000 0.0000
Sc: 0.5000 0.5000 0.5000
Ru: 0.0000 0.0000 0.5000
Ga: 0.0000 0.0000 0.0000
Ru: 0.0000 0.5000 0.0000

Properties
Spin magnetization   0.00 μB/cell
Calculated formation energy   0.686 eV per atom
Crystal system   cubic
Final energy   -26.327 eV/atom

---

[2]
## Ho2Al3Ge4 (SCAN)

Data for a PBEsol-optimized structure of Ho2Al3Ge4.

Lattice parameters (Å, degrees): 5.8454 7.8713 7.8355 90.00 111.90 90.00
Atoms (fractional coordinates):
Ho: 0.3853 0.9215 0.7705
Ge: 0.3159 0.5530 0.6317
Ho: 0.8853 0.5785 0.7705
Ge: 0.7062 0.2500 0.9124
Al: 0.4666 0.7500 0.4331
Ho: 0.1147 0.4215 0.2295
Al: 0.0334 0.2500 0.5669
Al: 0.9666 0.7500 0.4331
Al: 0.5334 0.2500 0.5669
Ge: 0.1841 0.0530 0.3683
Ho: 0.6147 0.0785 0.2295
Al: 0.0000 0.0000 0.0000
Ge: 0.2062 0.2500 0.9124
Ge: 0.6841 0.4470 0.3683
Ge: 0.7938 0.7500 0.0876
Al: 0.5000 0.5000 0.0000
Ge: 0.2938 0.7500 0.0876
Ge: 0.8159 0.9470 0.6317

Properties
Spin magnetization   0.03 μB/cell
Calculated formation energy   -0.463 eV per atom
Crystal system   orthorhombic
Final energy   -22.416 eV/atom

---

[3]
## KZr2Tc (SCAN)

Data for a PBEsol-optimized structure of KZr2Tc.

Lattice parameters (Å, degrees): 3.2341 3.2342 10.0387 90.00 90.21 90.00
Atoms (fractional coordinates):
Zr: 0.0019 0.0000 0.6529
K: 0.5000 0.5000 0.0000
Zr: 0.9981 0.0000 0.3471
Tc: 0.5000 0.5000 0.5000

Properties
Spin magnetization   0.01 μB/cell
Calculated formation energy   0.076 eV per atom
Crystal system   monoclinic
Final energy   -26.120 eV/atom
ΔE to the lowest computed polymorph   0 meV per atom

---

[4]
## ScIOF2 (SCAN)

Data for a PBEsol-optimized structure of ScIOF2.

Lattice parameters (Å, degrees): 3.9901 4.9608 4.9608 90.00 90.00 90.00
Site moments in Bohr magnetons follow the coordinates.
Atoms (fractional coordinates):
I: 0.0000 0.0000 0.0000  -0.07
F: 0.0000 0.0000 0.5000  -0.02
F: 0.0000 0.5000 0.0000  -0.02
O: 0.5000 0.0000 0.0000  -0.01
Sc: 0.5000 0.5000 0.5000  1.06

Properties
Spin magnetization   1.25 μB/cell
Formation energy (no corrections)   -0.583 eV/atom
Crystal system   tetragonal
Final energy   -13.441 eV/atom

---

[5]
## BaNi2Sb (SCAN)

Data for a PBEsol-optimized structure of BaNi2Sb.

Lattice parameters (Å, degrees): 3.9971 5.3774 5.3774 68.24 68.18 68.18
Site moments in Bohr magnetons follow the coordinates.
Atoms (fractional coordinates):
Ni: 0.0897 0.9103 0.9103  -0.58
Ba: 0.2477 0.2523 0.2523  0.04
Ni: 0.7427 0.7573 0.7573  -0.34
Sb: 0.4200 0.5800 0.5800  -0.01

Properties
Spin magnetization   0.69 μB/cell
Formation energy (no corrections)   0.145 eV/atom
Crystal system   orthorhombic
Final energy   -27.144 eV/atom

---

[6]
## TaRhAu2 (SCAN)

Data for a PBEsol-optimized structure of TaRhAu2.

Lattice parameters (Å, degrees): 2.8614 2.8614 9.3205 81.17 81.17 60.00
Atoms (fractional coordinates):
Rh: 0.5035 0.5035 0.4894
Au: 0.9982 0.9982 0.0053
Ta: 0.2462 0.2462 0.2614
Au: 0.7520 0.7520 0.7439

Properties
Spin magnetization   0.00 μB/cell
Calculated formation energy   -0.129 eV per atom
Crystal system   trigonal
Final energy   -59.796 eV/atom
ΔE to the lowest computed polymorph   166 meV per atom